The following is a PBE calculation of an optimized crystal structure of AlVCr2N, from Alexandria.

Cell and atoms, written as POSCAR:
```
AlVCr2N
1.0
3.845 0.000 0.000
0.000 3.845 0.000
0.000 0.000 3.907
Al V Cr N
1 1 2 1
Direct
0.000 0.000 0.000
0.500 0.500 0.000
0.000 0.500 0.500
0.500 0.000 0.500
0.500 0.500 0.500
```

Properties
raw formation energy = -0.42 eV/atom
VASP energy = -42.5 eV per formula unit
space-group type = P4/mmm (123)



The following is a PBE calculation of an optimized crystal structure of Y2AlCrN, from Alexandria.

Cell and atoms, written as POSCAR:
```
Y2AlCrN
1.0
4.907 0.000 0.000
0.000 4.907 0.000
0.000 0.000 3.760
Y Al Cr N
2 1 1 1
Direct
0.000 0.500 0.000
0.500 0.000 0.000
0.000 0.000 0.500
0.500 0.500 0.500
0.500 0.500 0.000
```

Properties
raw formation energy = -0.67 eV/atom
VASP energy = -38.0 eV per formula unit
space-group type = P4/mmm (123)



The following is a PBE calculation of an optimized crystal structure of Zr2AlCrN, from Alexandria.

Cell and atoms, written as POSCAR:
```
Zr2AlCrN
1.0
4.557 0.000 0.000
0.000 4.557 0.000
0.000 0.000 3.757
Zr Al Cr N
2 1 1 1
Direct
0.000 0.500 0.000
0.500 0.000 0.000
0.000 0.000 0.500
0.500 0.500 0.500
0.500 0.500 0.000
```

Properties
raw formation energy = -0.70 eV/atom
VASP energy = -42.3 eV per formula unit
space-group type = P4/mmm (123)



The following is a PBE calculation of an optimized crystal structure of Na3AlCr, from Alexandria.

Cell and atoms, written as POSCAR:
```
Na3AlCr
1.0
5.571 0.000 0.000
0.000 5.571 0.000
0.000 0.000 5.571
Na Al Cr
3 1 1
Direct
0.000 0.000 0.500
0.000 0.500 0.000
0.500 0.000 0.000
0.000 0.000 0.000
0.500 0.500 0.500
```

Properties
offset from the most stable computed form = 541 meV/atom
VASP energy = -9.8 eV per formula unit
space-group type = Pm-3m (221)
energy of formation from the pure elements = 1.5016 eV/atom



The following is a PBE calculation of an optimized crystal structure of NaAl2Cr, from Alexandria.

Cell and atoms, written as POSCAR:
```
NaAl2Cr
1.0
4.263 0.000 0.000
0.000 4.263 0.000
0.000 0.000 17.950
Na Al Cr
4 8 4
Direct
0.000 0.000 0.000
0.000 0.500 0.250
0.500 0.000 0.750
0.500 0.500 0.500
0.174 0.250 0.625
0.250 0.674 0.875
0.250 0.826 0.375
0.326 0.250 0.125
0.674 0.750 0.125
0.750 0.174 0.375
0.750 0.326 0.875
0.826 0.750 0.625
0.000 0.000 0.500
0.000 0.500 0.750
0.500 0.000 0.250
0.500 0.500 0.000
```

Properties
offset from the most stable computed form = 645 meV/atom
VASP energy = -14.7 eV per formula unit
space-group type = I-42d (122)
energy of formation from the pure elements = 0.9285 eV/atom



The following is a PBE calculation of an optimized crystal structure of Na3AlCr, from Alexandria.

Cell and atoms, written as POSCAR:
```
Na3AlCr
1.0
5.662 0.000 0.000
0.000 5.662 0.000
0.000 0.000 5.662
Na Al Cr
3 1 1
Direct
0.000 0.000 0.500
0.000 0.500 0.000
0.500 0.000 0.000
0.500 0.500 0.500
0.000 0.000 0.000
```

Properties
offset from the most stable computed form = 0 meV/atom
VASP energy = -12.5 eV per formula unit
space-group type = Pm-3m (221)
energy of formation from the pure elements = 0.9605 eV/atom



The following is a PBE calculation of an optimized crystal structure of NaAlCr3, from Alexandria.

Cell and atoms, written as POSCAR:
```
NaAlCr3
1.0
4.802 0.000 0.000
0.000 4.802 0.000
0.000 0.000 4.802
Na Al Cr
1 1 3
Direct
0.000 0.000 0.000
0.500 0.500 0.500
0.000 0.000 0.500
0.000 0.500 0.000
0.500 0.000 0.000
```

Properties
offset from the most stable computed form = 708 meV/atom
VASP energy = -24.4 eV per formula unit
space-group type = Pm-3m (221)
energy of formation from the pure elements = 1.9108 eV/atom



The following is a PBE calculation of an optimized crystal structure of NaAlCr3, from Alexandria.

Cell and atoms, written as POSCAR:
```
NaAlCr3
1.0
4.940 0.000 0.000
0.000 4.940 0.000
0.000 0.000 4.940
Na Al Cr
1 1 3
Direct
0.000 0.000 0.000
0.500 0.500 0.500
0.000 0.500 0.500
0.500 0.000 0.500
0.500 0.500 0.000
```

Properties
offset from the most stable computed form = 0 meV/atom
VASP energy = -27.9 eV per formula unit
space-group type = Pm-3m (221)
energy of formation from the pure elements = 1.2030 eV/atom



The following is a PBE calculation of an optimized crystal structure of NaAl2Cr, from Alexandria.

Cell and atoms, written as POSCAR:
```
NaAl2Cr
1.0
6.531 0.000 0.000
0.000 6.531 0.000
0.000 0.000 6.531
Na Al Cr
4 8 4
Direct
0.000 0.000 0.000
0.000 0.500 0.500
0.500 0.000 0.500
0.500 0.500 0.000
0.250 0.250 0.250
0.250 0.250 0.750
0.250 0.750 0.250
0.250 0.750 0.750
0.750 0.250 0.250
0.750 0.250 0.750
0.750 0.750 0.250
0.750 0.750 0.750
0.000 0.000 0.500
0.000 0.500 0.000
0.500 0.000 0.000
0.500 0.500 0.500
```

Properties
offset from the most stable computed form = 0 meV/atom
VASP energy = -17.3 eV per formula unit
space-group type = Fm-3m (225)
energy of formation from the pure elements = 0.2840 eV/atom



The following is a PBE calculation of an optimized crystal structure of NaAlCr2, from Alexandria.

Cell and atoms, written as POSCAR:
```
NaAlCr2
1.0
3.708 0.000 0.000
0.000 3.708 0.000
0.000 0.000 18.995
Na Al Cr
4 4 8
Direct
0.000 0.000 0.000
0.000 0.500 0.250
0.500 0.000 0.750
0.500 0.500 0.500
0.000 0.000 0.500
0.000 0.500 0.750
0.500 0.000 0.250
0.500 0.500 0.000
0.180 0.250 0.625
0.250 0.680 0.875
0.250 0.820 0.375
0.320 0.250 0.125
0.680 0.750 0.125
0.750 0.180 0.375
0.750 0.320 0.875
0.820 0.750 0.625
```

Properties
offset from the most stable computed form = 420 meV/atom
VASP energy = -20.0 eV per formula unit
space-group type = I-42d (122)
energy of formation from the pure elements = 1.0888 eV/atom



The following is a PBE calculation of an optimized crystal structure of NaAl3Cr, from Alexandria.

Cell and atoms, written as POSCAR:
```
NaAl3Cr
1.0
4.759 0.000 0.000
0.000 4.759 0.000
0.000 0.000 4.759
Na Al Cr
1 3 1
Direct
0.000 0.000 0.000
0.000 0.500 0.500
0.500 0.000 0.500
0.500 0.500 0.000
0.500 0.500 0.500
```

Properties
offset from the most stable computed form = 0 meV/atom
VASP energy = -20.5 eV per formula unit
space-group type = Pm-3m (221)
energy of formation from the pure elements = 0.3267 eV/atom



The following is a PBE calculation of an optimized crystal structure of NaAlCr2, from Alexandria.

Cell and atoms, written as POSCAR:
```
NaAlCr2
1.0
6.573 0.000 0.000
0.000 6.573 0.000
0.000 0.000 6.573
Na Al Cr
4 4 8
Direct
0.000 0.000 0.000
0.000 0.500 0.500
0.500 0.000 0.500
0.500 0.500 0.000
0.000 0.000 0.500
0.000 0.500 0.000
0.500 0.000 0.000
0.500 0.500 0.500
0.250 0.250 0.250
0.250 0.250 0.750
0.250 0.750 0.250
0.250 0.750 0.750
0.750 0.250 0.250
0.750 0.250 0.750
0.750 0.750 0.250
0.750 0.750 0.750
```

Properties
offset from the most stable computed form = 0 meV/atom
VASP energy = -21.6 eV per formula unit
space-group type = Fm-3m (225)
energy of formation from the pure elements = 0.6687 eV/atom



> Look up the VASP energy of the eighth one.

-27.9 eV per formula unit



> What is the VASP energy in the third record?

-42.3 eV per formula unit